[1]
First-principles (PBE) data for a relaxed Cu3SeI crystal, as listed in Alexandria.

a b c (Å): 4.9024 4.9024 4.9024
angles (deg): 90.00 90.00 90.00
Fractional positions:
I  0.0000  0.0000  0.0000
Se  0.5000  0.5000  0.5000
Cu  0.0000  0.5000  0.0000
Cu  0.0000  0.0000  0.5000
Cu  0.5000  0.0000  0.0000

D(E_F): 0.099 states/eV/cell
raw formation energy: 837 meV per atom


[2]
First-principles (PBE) data for a relaxed CeLuCo2 crystal, as listed in Alexandria.

a b c (Å): 3.2912 4.6801 4.6801
angles (deg): 90.00 90.00 90.00
Fractional positions:
Ce  0.5000  0.0000  0.0000
Lu  0.5000  0.5000  0.5000
Co  0.0000  0.0000  0.5000
Co  0.0000  0.5000  0.0000

D(E_F): 4.000 states/eV/cell
E_tot: -25.4 eV for the cell shown


[3]
First-principles (PBE) data for a relaxed HoErNi2 crystal, as listed in Alexandria.

a b c (Å): 3.3011 4.7716 4.7716
angles (deg): 90.00 90.00 90.00
Fractional positions:
Ho  0.5000  0.5000  0.5000
Er  0.5000  0.0000  0.0000
Ni  0.0000  0.5000  0.0000
Ni  0.0000  0.0000  0.5000

D(E_F): 2.519 states/eV/cell
E_tot: -22.4 eV for the cell shown


[4]
First-principles (PBE) data for a relaxed Be2InMo crystal, as listed in Alexandria.

a b c (Å): 2.7472 2.7474 7.8943
angles (deg): 90.00 90.00 90.06
Fractional positions:
Mo  0.5000  0.5000  0.7500
Be  0.0000  0.0000  0.9647
Be  0.0000  0.0000  0.5353
In  0.5000  0.5000  0.2500

D(E_F): 2.263 states/eV/cell
E_tot: -19.2 eV for the cell shown


[5]
First-principles (PBE) data for a relaxed ZrInTe2I crystal, as listed in Alexandria.

a b c (Å): 5.6367 5.6367 5.6434
angles (deg): 90.00 90.00 90.00
Each line ends with the local moment (μB).
Fractional positions:
Te  0.5000  0.0000  0.0000  -0.12
Te  0.0000  0.5000  0.0000  -0.12
Zr  0.5000  0.5000  0.5000  1.33
In  0.0000  0.0000  0.0000  0.02
I  0.0000  0.0000  0.5000  -0.05

D(E_F): 5.942 states/eV/cell
raw formation energy: 536 meV per atom


[6]
First-principles (PBE) data for a relaxed Ni2HgTe2 crystal, as listed in Alexandria.

a b c (Å): 3.7478 3.7478 8.7642
angles (deg): 102.35 102.35 90.00
Each line ends with the local moment (μB).
Fractional positions:
Te  0.3519  0.3519  0.7038  0.02
Te  0.6481  0.6481  0.2962  0.02
Ni  0.7500  0.2500  0.5000  0.20
Ni  0.2500  0.7500  0.5000  0.20
Hg  0.0000  0.0000  0.0000  0.01

D(E_F): 5.763 states/eV/cell
raw formation energy: -109 meV per atom


[7]
First-principles (PBE) data for a relaxed KBe8As6 crystal, as listed in Alexandria.

a b c (Å): 6.5540 6.5540 6.5540
angles (deg): 96.49 96.49 96.49
Fractional positions:
As  0.4122  0.7023  0.8550
As  0.5878  0.2977  0.1450
As  0.8550  0.4122  0.7023
As  0.1450  0.5878  0.2977
As  0.2977  0.1450  0.5878
As  0.7023  0.8550  0.4122
Be  0.8144  0.5250  0.3763
Be  0.6237  0.1856  0.4750
Be  0.3763  0.8144  0.5250
Be  0.4750  0.6237  0.1856
Be  0.3292  0.3292  0.3292
Be  0.6708  0.6708  0.6708
Be  0.1856  0.4750  0.6237
Be  0.5250  0.3763  0.8144
K  0.0000  0.0000  0.0000

D(E_F): 5.529 states/eV/cell
E_tot: -60.5 eV for the cell shown


[8]
First-principles (PBE) data for a relaxed SrSc2Ir9 crystal, as listed in Alexandria.

a b c (Å): 5.3007 5.3007 9.1322
angles (deg): 73.13 73.13 60.00
Fractional positions:
Ir  0.9193  0.4130  0.2547
Ir  0.4130  0.4130  0.2547
Ir  0.0807  0.5870  0.7453
Ir  0.5000  0.5000  0.5000
Ir  0.5870  0.5870  0.7453
Ir  0.4130  0.9193  0.2547
Ir  0.3343  0.3343  0.9971
Ir  0.6657  0.6657  0.0029
Ir  0.5870  0.0807  0.7453
Sc  0.8607  0.8607  0.4180
Sc  0.1393  0.1393  0.5820
Sr  0.0000  0.0000  0.0000

D(E_F): 14.818 states/eV/cell
E_tot: -98.9 eV for the cell shown


[9]
First-principles (PBE) data for a relaxed KAsH2O4 crystal, as listed in Alexandria.

a b c (Å): 6.5737 6.5737 6.5737
angles (deg): 107.88 107.88 112.71
Fractional positions:
O  0.2934  0.0433  0.5631
O  0.2933  0.0434  0.0631
O  0.7698  0.7067  0.7501
O  0.4802  0.7303  0.4369
O  0.2697  0.7066  0.7499
O  0.9803  0.2302  0.9369
O  0.9567  0.5198  0.2501
O  0.9566  0.0197  0.2499
K  0.5000  0.5000  0.0000
K  0.7500  0.2500  0.5000
H  0.1250  0.0272  0.4022
H  0.9728  0.3750  0.0978
H  0.6250  0.7228  0.5978
H  0.2772  0.8750  0.9022
As  0.2500  0.7500  0.5000
As  0.0000  0.0000  0.0000

D(E_F): 0.000 states/eV/cell
E_tot: -86.6 eV for the cell shown


[10]
First-principles (PBE) data for a relaxed TbCeHg crystal, as listed in Alexandria.

a b c (Å): 3.6018 3.6018 7.1074
angles (deg): 104.68 104.68 90.00
Each line ends with the local moment (μB).
Fractional positions:
Tb  0.0148  0.0148  0.0295  0.09
Hg  0.6607  0.6607  0.3214  0.00
Ce  0.3245  0.3245  0.6491  0.83

D(E_F): 7.331 states/eV/cell
E_tot: -11.5 eV for the cell shown


[11]
First-principles (PBE) data for a relaxed GdSn4Pb crystal, as listed in Alexandria.

a b c (Å): 6.2314 6.2314 6.2314
angles (deg): 60.00 60.00 60.00
Each line ends with the local moment (μB).
Fractional positions:
Pb  0.2500  0.2500  0.2500  0.05
Sn  0.6250  0.6250  0.1249  -0.01
Sn  0.6250  0.6250  0.6250  -0.01
Sn  0.6250  0.1249  0.6250  -0.01
Sn  0.1249  0.6250  0.6250  -0.01
Gd  0.0000  0.0000  0.0000  7.00

D(E_F): 6.449 states/eV/cell
E_tot: -34.7 eV for the cell shown


[12]
First-principles (PBE) data for a relaxed LiScPb crystal, as listed in Alexandria.

a b c (Å): 3.5404 8.1201 8.1201
angles (deg): 145.13 90.00 90.00
Fractional positions:
Li  0.5000  0.1207  0.8793
Li  0.5000  0.8061  0.1939
Pb  0.0000  0.9797  0.0203
Pb  0.0000  0.2651  0.7349
Sc  0.5000  0.4458  0.5542
Sc  0.0000  0.6229  0.3771

D(E_F): 4.149 states/eV/cell
E_tot: -25.5 eV for the cell shown


[13]
First-principles (PBE) data for a relaxed TbMgCd2 crystal, as listed in Alexandria.

a b c (Å): 4.3958 4.7103 4.7103
angles (deg): 90.00 90.00 90.00
Fractional positions:
Cd  0.0000  0.5000  0.0000
Cd  0.0000  0.0000  0.5000
Mg  0.5000  0.5000  0.5000
Tb  0.5000  0.0000  0.0000

D(E_F): 3.348 states/eV/cell
E_tot: -9.0 eV for the cell shown


[14]
First-principles (PBE) data for a relaxed Ho6InSe4 crystal, as listed in Alexandria.

a b c (Å): 4.0117 7.0138 20.7468
angles (deg): 90.00 90.00 106.62
Fractional positions:
Ho  0.2304  0.4608  0.9061
Ho  0.5000  0.0000  0.5000
Ho  0.3499  0.6998  0.2500
Ho  0.2304  0.4608  0.5939
Ho  0.7696  0.5392  0.4061
Ho  0.5000  0.0000  0.0000
Ho  0.6501  0.3002  0.7500
Ho  0.9506  0.9012  0.8369
Ho  0.7696  0.5392  0.0939
Ho  0.0494  0.0988  0.1631
Ho  0.0494  0.0988  0.3369
Ho  0.9506  0.9012  0.6631
In  0.6730  0.3460  0.2500
In  0.3270  0.6540  0.7500
Se  0.1416  0.2833  0.4628
Se  0.5869  0.1738  0.6221
Se  0.4131  0.8262  0.3779
Se  0.4131  0.8262  0.1221
Se  0.8584  0.7167  0.9628
Se  0.5869  0.1738  0.8779
Se  0.8584  0.7167  0.5372
Se  0.1416  0.2833  0.0372

D(E_F): 19.023 states/eV/cell
raw formation energy: -1354 meV per atom


[15]
First-principles (PBE) data for a relaxed Tm2Tl2In crystal, as listed in Alexandria.

a b c (Å): 5.0484 5.0484 12.4312
angles (deg): 90.00 90.00 120.00
Fractional positions:
In  0.0000  0.0000  0.2500
In  0.0000  0.0000  0.7500
Tl  0.0000  0.0000  0.5000
Tl  0.0000  0.0000  0.0000
Tl  0.3333  0.6667  0.2500
Tl  0.6667  0.3333  0.7500
Tm  0.3333  0.6667  0.9011
Tm  0.6667  0.3333  0.0989
Tm  0.3333  0.6667  0.5989
Tm  0.6667  0.3333  0.4011

D(E_F): 6.974 states/eV/cell
E_tot: -34.4 eV for the cell shown


[16]
First-principles (PBE) data for a relaxed La2Tb2NdTm crystal, as listed in Alexandria.

a b c (Å): 5.7406 7.1236 9.9225
angles (deg): 90.00 90.00 90.00
Fractional positions:
Tb  0.0000  0.2578  0.8346
Tb  0.0000  0.7578  0.1654
Tb  0.5000  0.7574  0.6668
Tb  0.5000  0.2574  0.3332
Nd  0.5000  0.7572  0.3428
Nd  0.5000  0.2572  0.6572
La  0.0000  0.2580  0.1799
La  0.5000  0.0077  0.0003
La  0.0000  0.7580  0.8201
La  0.5000  0.5077  0.9997
Tm  0.0000  0.5074  0.5002
Tm  0.0000  0.0074  0.4998

D(E_F): 19.851 states/eV/cell
E_tot: -56.0 eV for the cell shown


[17]
First-principles (PBE) data for a relaxed Pr2Dy6Er3In crystal, as listed in Alexandria.

a b c (Å): 6.0943 6.0943 11.7261
angles (deg): 94.98 94.98 120.03
Fractional positions:
Dy  0.7569  0.7569  0.2526
Dy  0.2431  0.2431  0.7474
Dy  0.0836  0.4105  0.2517
Dy  0.5895  0.9164  0.7483
Dy  0.9164  0.5895  0.7483
Dy  0.4105  0.0836  0.2517
Er  0.1667  0.8333  0.5000
Er  0.5000  0.5000  0.5000
Er  0.8333  0.1667  0.5000
In  0.0000  0.0000  0.0000
Pr  0.6662  0.3338  0.0000
Pr  0.3338  0.6662  0.0000

D(E_F): 15.438 states/eV/cell
E_tot: -54.3 eV for the cell shown


[18]
First-principles (PBE) data for a relaxed HfScBe2B crystal, as listed in Alexandria.

a b c (Å): 3.9407 4.4464 3.9407
angles (deg): 90.00 90.00 90.00
Fractional positions:
Be  0.5000  0.0000  0.0000
Be  0.0000  0.0000  0.5000
B  0.0000  0.0000  0.0000
Hf  0.5000  0.5000  0.5000
Sc  0.0000  0.5000  0.0000

D(E_F): 2.762 states/eV/cell
E_tot: -28.8 eV for the cell shown


[19]
First-principles (PBE) data for a relaxed NaGa4Sb crystal, as listed in Alexandria.

a b c (Å): 5.7318 5.7318 5.7318
angles (deg): 60.00 60.00 60.00
Fractional positions:
Ga  0.6252  0.6252  0.1243
Ga  0.1243  0.6252  0.6252
Ga  0.6252  0.1243  0.6252
Ga  0.6252  0.6252  0.6252
Sb  0.2500  0.2500  0.2500
Na  0.0000  0.0000  0.0000

D(E_F): 1.590 states/eV/cell
raw formation energy: -18 meV per atom


[20]
First-principles (PBE) data for a relaxed YHfTe2I crystal, as listed in Alexandria.

a b c (Å): 5.8477 5.8477 5.6973
angles (deg): 90.00 90.00 90.00
Fractional positions:
Te  0.5000  0.0000  0.0000
Te  0.0000  0.5000  0.0000
Hf  0.5000  0.5000  0.5000
Y  0.0000  0.0000  0.0000
I  0.0000  0.0000  0.5000

D(E_F): 4.758 states/eV/cell
raw formation energy: 202 meV per atom